No. 1
Here is a geometry-optimized LiCa2TlH structure from Alexandria. Energies are from PBE.

POSCAR file:
```
LiCa2TlH
1.0
5.2058 0.0000 0.0000
0.0000 5.2058 0.0000
0.0000 0.0000 4.0250
Li Ca Tl H
1 2 1 1
Cartesian
0.0000 0.0000 0.0000
0.0000 2.6029 2.0125
2.6029 0.0000 2.0125
2.6029 2.6029 0.0000
0.0000 0.0000 2.0125
```

Calculated values
SG: P4/mmm
DFT total energy, eV/atom: -2.72


No. 2
Here is a geometry-optimized LiCaY2H structure from Alexandria. Energies are from PBE.

POSCAR file:
```
LiCaY2H
1.0
4.7900 0.0000 0.0000
0.0000 4.7900 0.0000
0.0000 0.0000 5.4431
Li Ca Y H
1 1 2 1
Cartesian
0.0000 0.0000 0.0000
2.3950 2.3950 0.0000
0.0000 2.3950 2.7215
2.3950 0.0000 2.7215
2.3950 2.3950 2.7215
```

Calculated values
SG: P4/mmm
DFT total energy, eV/atom: -4.04


No. 3
Here is a geometry-optimized Li2CaZnH structure from Alexandria. Energies are from PBE.

POSCAR file:
```
Li2CaZnH
1.0
4.3343 0.0000 0.0000
0.0000 4.3343 0.0000
0.0000 0.0000 4.6646
Li Ca Zn H
2 1 1 1
Cartesian
0.0000 2.1671 0.0000
2.1671 0.0000 0.0000
0.0000 0.0000 2.3323
2.1671 2.1671 2.3323
0.0000 0.0000 0.0000
```

Calculated values
SG: P4/mmm
DFT total energy, eV/atom: -2.27


No. 4
Here is a geometry-optimized LiCa2ZnH structure from Alexandria. Energies are from PBE.

POSCAR file:
```
LiCa2ZnH
1.0
5.0473 0.0000 0.0000
0.0000 5.0473 0.0000
0.0000 0.0000 3.9843
Li Ca Zn H
1 2 1 1
Cartesian
0.0000 0.0000 0.0000
0.0000 2.5237 1.9922
2.5237 0.0000 1.9922
2.5237 2.5237 0.0000
0.0000 0.0000 1.9922
```

Calculated values
SG: P4/mmm
DFT total energy, eV/atom: -2.36


Listing mass density for the structures above in their given order: 4.5, 3.0, 2.3, 2.5 Mg/m³.
Listing magnetization for the structures above in their given order: 0.0, 1.1, 0.0, 0.0 μB/f.u..